A plane-wave DFT calculation with PBE was carried out for crystalline MnFeAs6 at its relaxed geometry.

The calculation puts the calculated formation energy at -1.20 eV/f.u.

Cell lengths 11.8924, 8.3876, 8.4615 Å; angles 90.00, 134.63, 90.00 degrees
Closest atoms and distances in Å follow each position.
Space group C2/m (No. 12)
Symmetry-distinct sites (fractional):
Mn1 0.2500 0.2500 0.0000 [4 per cell]  6 As 2.45-2.49
Fe1 0.2500 0.2500 0.5000 [4 per cell]  6 As 2.34-2.36
As1 0.0100 0.1559 0.1592 [8 per cell]  1 Fe 2.35, 1 Mn 2.48, 2 As 2.53-2.61
As2 0.1461 0.5000 0.7903 [4 per cell]  2 Mn 2.45, 2 As 2.53-2.64
As3 0.1518 0.5000 0.4839 [4 per cell]  2 Fe 2.36, 1 As 2.53
As4 0.1553 0.1500 0.6464 [8 per cell]  1 Fe 2.34, 1 Mn 2.49, 1 As 2.52

---

A plane-wave DFT calculation with PBE was carried out for crystalline Sm2Y2Te3 at its relaxed geometry.

Its formation energy without anion corrections is -26.32 kcal/mol of atoms.

Cell lengths 9.2331, 9.2331, 9.2331 Å; angles 90.00, 90.00, 90.00 degrees
Closest atoms and distances in Å follow each position.
Space group I2_13 (No. 199)
Symmetry-distinct sites (fractional):
Sm1 0.0739 0.0739 0.0739 [8 per cell]  6 Te 3.10-3.32
Y1 0.1794 0.3206 0.6794 [8 per cell]  6 Te 3.08-3.30
Te1 0.0000 0.2500 0.3791 [12 per cell]  4 Y 3.08-3.30, 4 Sm 3.10-3.32

---

A plane-wave DFT calculation with PBE was carried out for crystalline HoSn2Pd at its relaxed geometry.

The calculation puts the calculated formation energy at -0.65 eV/f.u.

Cell lengths 3.3861, 3.3861, 30.8105 Å; angles 90.00, 90.00, 120.00 degrees
Closest atoms and distances in Å follow each position.
Space group R-3m (No. 166, hexagonal axes)
Symmetry-distinct sites (fractional):
Ho1 0.0000 0.0000 0.0000 [3 per cell]  2 Sn 3.12, 6 Ho 3.39
Sn1 0.0000 0.0000 0.1012 [6 per cell]  3 Pd 2.81, 1 Ho 3.12
Pd1 0.0000 0.0000 0.5000 [3 per cell]  6 Sn 2.81

---

A plane-wave DFT calculation with PBE was carried out for crystalline NdDy2Tl4 at its relaxed geometry.

The calculation puts the calculated formation energy at -1.56 eV/f.u.

Cell lengths 7.6938, 7.6938, 7.3060 Å; angles 90.00, 90.00, 90.00 degrees
Closest atoms and distances in Å follow each position.
Space group I4/mmm (No. 139)
Symmetry-distinct sites (fractional):
Nd1 0.0000 0.0000 0.0000 [2 per cell]  8 Tl 3.28
Dy1 0.0000 0.5000 0.0000 [4 per cell]  8 Tl 3.28, 2 Dy 3.65
Tl1 0.2500 0.2500 0.2500 [8 per cell]  2 Nd 3.28, 4 Dy 3.28, 2 Tl 3.65

---

A plane-wave DFT calculation with PBE was carried out for crystalline HoHIr3 at its relaxed geometry.

Its total energy is -7.272 eV per atom.

Cell lengths 4.0882, 4.0882, 4.0882 Å; angles 90.00, 90.00, 90.00 degrees
Closest atoms and distances in Å follow each position.
Space group Pm-3m (No. 221)
Symmetry-distinct sites (fractional):
Ho1 0.0000 0.0000 0.0000 [1 per cell]  12 Ir 2.89
H1 0.5000 0.5000 0.5000 [1 per cell]  6 Ir 2.04
Ir1 0.0000 0.5000 0.5000 [3 per cell]  2 H 2.04

---

A plane-wave DFT calculation with PBE was carried out for crystalline MgTaAs at its relaxed geometry.

The calculation puts the calculated formation energy at 0.94 eV/f.u.

Cell lengths 6.1998, 6.1998, 6.1998 Å; angles 90.00, 90.00, 90.00 degrees
Closest atoms and distances in Å follow each position.
Space group F-43m (No. 216)
Symmetry-distinct sites (fractional):
Mg1 0.0000 0.0000 0.0000 [4 per cell]  4 As 2.68
Ta1 0.0000 0.0000 0.5000 [4 per cell]  4 As 2.68
As1 0.2500 0.2500 0.7500 [4 per cell]  4 Ta 2.68, 4 Mg 2.68

---

A plane-wave DFT calculation with PBE was carried out for crystalline Sr3NpBe2O8 at its relaxed geometry.

Its formation energy without anion corrections is -63.02 kcal/mol of atoms.

Cell lengths 5.5535, 5.5535, 7.1410 Å; angles 90.00, 90.00, 120.00 degrees
Closest atoms and distances in Å follow each position.
Space group P-3m1 (No. 164)
Symmetry-distinct sites (fractional):
Sr1 0.0000 0.0000 0.0000 [1 per cell]  6 O 2.86
Sr2 0.3333 0.6667 0.6969 [2 per cell]  1 O 2.24
Np1 0.0000 0.0000 0.5000 [1 per cell]  6 O 2.07
Be1 0.3333 0.6667 0.2220 [2 per cell]  1 O 1.51
O1 0.1725 0.3451 0.3262 [6 per cell]  1 Be 1.72
O2 0.3333 0.6667 0.0109 [2 per cell]  1 Be 1.51

---

A plane-wave DFT calculation with PBE was carried out for crystalline Rb4Pm3TaSe8 at its relaxed geometry.

Its formation energy without anion corrections is -33.15 kcal/mol of atoms.

Cell lengths 8.4496, 8.4496, 24.0711 Å; angles 90.00, 90.00, 120.00 degrees
Closest atoms and distances in Å follow each position.
Space group R-3m (No. 166, hexagonal axes)
Symmetry-distinct sites (fractional):
Rb1 0.0000 0.0000 0.0000 [3 per cell]  6 Se 3.59
Rb2 0.0000 0.5000 0.0000 [9 per cell]  6 Se 3.40-3.41
Pm1 0.0000 0.5000 0.5000 [9 per cell]  6 Se 2.94-2.97
Ta1 0.0000 0.0000 0.5000 [3 per cell]  6 Se 2.74
Se1 0.0000 0.0000 0.2349 [6 per cell]  3 Pm 2.94
Se2 0.0244 0.5122 0.2312 [18 per cell]  1 Ta 2.74, 2 Pm 2.97

---

A plane-wave DFT calculation with PBE was carried out for crystalline KCa2TlO4 at its relaxed geometry.

Its formation energy without anion corrections is -43.68 kcal/mol of atoms.

Cell lengths 7.0643, 7.1702, 9.7425 Å; angles 90.00, 90.00, 90.00 degrees
Closest atoms and distances in Å follow each position.
Space group Imma (No. 74)
Symmetry-distinct sites (fractional):
K1 0.2500 0.2500 0.2500 [4 per cell]  6 O 2.57-2.67
Ca1 0.0000 0.0000 0.0000 [4 per cell]  4 O 2.40
Ca2 0.2500 0.2500 0.7500 [4 per cell]  6 O 2.32-2.40
Tl1 0.0000 0.0000 0.5000 [4 per cell]  2 O 2.19
O1 0.0000 0.0269 0.7239 [8 per cell]  1 Tl 2.19, 2 Ca 2.40
O2 0.2248 0.2500 0.9873 [8 per cell]  3 Ca 2.32-2.40, 1 K 2.57

---

A plane-wave DFT calculation with PBE was carried out for crystalline Tb2YPu3S6 at its relaxed geometry.

Its formation energy without anion corrections is -44.17 kcal/mol of atoms.

Cell lengths 17.1931, 3.9291, 7.8982 Å; angles 90.00, 103.62, 90.00 degrees
Closest atoms and distances in Å follow each position.
Space group C2/m (No. 12)
Symmetry-distinct sites (fractional):
Tb1 0.1667 0.0000 0.3334 [4 per cell]  6 S 2.78
Y1 0.0000 0.5000 0.0000 [2 per cell]  6 S 2.77-2.78
Pu1 0.0000 0.5000 0.5000 [2 per cell]  6 S 2.79-2.80
Pu2 0.1668 0.0000 0.8332 [4 per cell]  6 S 2.79
S1 0.0003 0.0000 0.2483 [4 per cell]  2 Y 2.78, 1 Tb 2.78, 3 Pu 2.79-2.80
S2 0.1660 0.5000 0.0841 [4 per cell]  1 Y 2.77, 2 Tb 2.78, 3 Pu 2.79
S3 0.1670 0.5000 0.5823 [4 per cell]  3 Tb 2.78, 3 Pu 2.79

---

A plane-wave DFT calculation with PBE was carried out for crystalline Nd2Rh7 at its relaxed geometry.

The calculation puts the calculated formation energy at -3.95 eV/f.u.

Cell lengths 5.3132, 5.3132, 39.6348 Å; angles 90.00, 90.00, 120.00 degrees
Closest atoms and distances in Å follow each position.
Space group R-3m (No. 166, hexagonal axes)
Symmetry-distinct sites (fractional):
Nd1 0.0000 0.0000 0.0501 [6 per cell]  12 Rh 3.07-3.32
Nd2 0.0000 0.0000 0.1472 [6 per cell]  12 Rh 3.04-3.39
Rh1 0.0000 0.0000 0.2778 [6 per cell]  6 Rh 2.64-2.68
Rh2 0.0000 0.0000 0.3888 [6 per cell]  6 Rh 2.64-2.68
Rh3 0.0000 0.0000 0.5000 [3 per cell]  6 Rh 2.73
Rh4 0.0000 0.5000 0.0000 [9 per cell]  8 Rh 2.66-2.68
Rh5 0.9996 0.4998 0.1097 [18 per cell]  7 Rh 2.64-2.73

---

A plane-wave DFT calculation with PBE was carried out for crystalline ReAg3 at its relaxed geometry.

The calculation puts the calculated formation energy at 1.66 eV/f.u.

Cell lengths 8.7433, 8.2866, 3.8339 Å; angles 90.00, 90.00, 90.00 degrees
Closest atoms and distances in Å follow each position.
Space group Cmcm (No. 63)
Symmetry-distinct sites (fractional):
Re1 0.0000 0.0881 0.2500 [4 per cell]  2 Re 2.41
Ag1 0.0000 0.3665 0.7500 [4 per cell]  10 Ag 2.86-3.04, 2 Re 3.00
Ag2 0.2426 0.3714 0.2500 [8 per cell]  8 Ag 2.78-3.04, 3 Re 2.88-2.98

---

Number 7 is which compound?
Sr3NpBe2O8